1.
{
  "formula": "U2Si2Ir",
  "functional": "PBE",
  "state": "optimized geometry",
  "lattice_angstrom": [[-2.6360, 3.6569, 3.3391], [-2.4384, -4.3675, -1.8543], [3.2224, -2.9075, 5.7279]],
  "species": ["Si", "Si", "Si", "Si", "U", "U", "U", "U", "Ir", "Ir"],
  "frac_coords": [[0.2487, 0.2940, 0.5016], [0.7513, 0.7060, 0.4984], [0.0453, 0.2940, 0.0016], [0.9547, 0.7060, 0.9984], [0.2786, 0.7664, 0.3367], [0.5122, 0.2336, 0.1633], [0.7214, 0.2336, 0.6633], [0.4878, 0.7664, 0.8367], [0.8588, 0.0000, 0.2500], [0.1412, 0.0000, 0.7500]],
  "total_magnetization_mub_per_fu": 2.4,
  "space_group": "C2/c (15)",
  "e_tot_ev_per_cell": -89.9
}

***

2.
{
  "formula": "USi3Ir2",
  "functional": "PBE",
  "state": "optimized geometry",
  "lattice_angstrom": [[3.8943, 0.0000, -1.1443], [-0.8963, 6.7541, -3.0502], [0.1079, 0.2543, 7.5654]],
  "species": ["Ir", "Ir", "Ir", "Ir", "Si", "Si", "Si", "Si", "Si", "Si", "U", "U"],
  "frac_coords": [[0.5126, 0.1815, 0.0252], [0.1760, 0.6359, 0.3521], [0.8240, 0.3641, 0.6479], [0.4874, 0.8185, 0.9748], [0.0096, 0.3480, 0.0193], [0.9904, 0.6520, 0.9807], [0.3580, 0.2121, 0.7160], [0.3248, 0.5571, 0.6496], [0.6752, 0.4429, 0.3504], [0.6420, 0.7879, 0.2840], [0.8522, 0.9038, 0.7043], [0.1478, 0.0962, 0.2957]],
  "total_magnetization_mub_per_fu": 2.0,
  "space_group": "C2/m (12)",
  "e_tot_ev_per_cell": -96.9
}

***

3.
{
  "formula": "U4Si5Ir3",
  "functional": "PBE",
  "state": "optimized geometry",
  "lattice_angstrom": [[4.5366, 0.0000, 0.0000], [2.2683, 5.2177, -0.8491], [2.2683, 1.3863, 9.1974]],
  "species": ["Si", "Si", "Si", "Si", "Si", "Ir", "Ir", "Ir", "U", "U", "U", "U"],
  "frac_coords": [[0.8161, 0.6103, 0.7575], [0.5625, 0.0136, 0.8614], [0.4375, 0.9864, 0.1386], [0.5000, 0.5000, 0.5000], [0.1839, 0.3897, 0.2425], [0.3992, 0.4287, 0.7729], [0.0000, 0.5000, 0.5000], [0.6008, 0.5713, 0.2271], [0.1704, 0.0082, 0.6510], [0.8296, 0.9918, 0.3490], [0.1209, 0.7618, 0.9965], [0.8791, 0.2382, 0.0035]],
  "total_magnetization_mub_per_fu": 6.1,
  "space_group": "C2/m (12)",
  "e_tot_ev_per_cell": -103.8
}

***

4.
{
  "formula": "U2Si3Ir5",
  "functional": "PBE",
  "state": "optimized geometry",
  "lattice_angstrom": [[4.0398, 0.0000, -0.6882], [0.0000, 6.4992, 0.0000], [0.0405, 0.0000, 12.4391]],
  "species": ["Ir", "Ir", "Ir", "Ir", "Ir", "Ir", "Ir", "Ir", "Ir", "Ir", "Si", "Si", "Si", "Si", "Si", "Si", "U", "U", "U", "U"],
  "frac_coords": [[0.2987, 0.9042, 0.5975], [0.3958, 0.4206, 0.7917], [0.6042, 0.9206, 0.2083], [0.7013, 0.4042, 0.4025], [0.1210, 0.2548, 0.2419], [0.2793, 0.4769, 0.5586], [0.0539, 0.6138, 0.1077], [0.8790, 0.7548, 0.7581], [0.9461, 0.1138, 0.8923], [0.7207, 0.9769, 0.4414], [0.6095, 0.5135, 0.2189], [0.0521, 0.9924, 0.1042], [0.9479, 0.4924, 0.8958], [0.7799, 0.6809, 0.5597], [0.2201, 0.1809, 0.4403], [0.3905, 0.0135, 0.7811], [0.5140, 0.2758, 0.0281], [0.4860, 0.7758, 0.9719], [0.8229, 0.2320, 0.6458], [0.1771, 0.7320, 0.3542]],
  "total_magnetization_mub_per_fu": 2.4,
  "space_group": "Cmc2_1 (36)",
  "e_tot_ev_per_cell": -178.3
}

***

5.
{
  "formula": "USi4Ir6",
  "functional": "PBE",
  "state": "optimized geometry",
  "lattice_angstrom": [[3.8415, 0.0000, 0.0000], [0.0000, 6.0969, -3.5201], [0.0000, 0.0000, 7.0401]],
  "species": ["Si", "Si", "Si", "Si", "Ir", "Ir", "Ir", "Ir", "Ir", "Ir", "U"],
  "frac_coords": [[0.0000, 0.3333, 0.6667], [0.5000, 0.8007, 0.6013], [0.5000, 0.3987, 0.1993], [0.5000, 0.8007, 0.1993], [0.5000, 0.6095, 0.8048], [0.5000, 0.1952, 0.8048], [0.0000, 0.5321, 0.4679], [0.0000, 0.5321, 0.0642], [0.5000, 0.1952, 0.3905], [0.0000, 0.9358, 0.4679], [0.0000, 0.0000, 0.0000]],
  "total_magnetization_mub_per_fu": 1.7,
  "space_group": "P-6m2 (187)",
  "e_tot_ev_per_cell": -94.2
}

***

6.
{
  "formula": "U2Si4Ir5",
  "functional": "PBE",
  "state": "optimized geometry",
  "lattice_angstrom": [[5.5707, 0.0000, 0.0000], [2.7853, 4.7544, 0.0000], [2.7853, 0.0000, 7.1205]],
  "species": ["Si", "Si", "Si", "Si", "U", "U", "Ir", "Ir", "Ir", "Ir", "Ir"],
  "frac_coords": [[0.5175, 0.6990, 0.2661], [0.7836, 0.6990, 0.7339], [0.2164, 0.3010, 0.2661], [0.4825, 0.3010, 0.7339], [0.1249, 0.0000, 0.7502], [0.8751, 0.0000, 0.2498], [0.0000, 0.5000, 0.0000], [0.5000, 0.5000, 0.0000], [0.5000, 0.0000, 0.0000], [0.2500, 0.5000, 0.5000], [0.7500, 0.5000, 0.5000]],
  "total_magnetization_mub_per_fu": 4.6,
  "space_group": "Fmmm (69)",
  "e_tot_ev_per_cell": -95.2
}

***

7.
{
  "formula": "USi3Ir",
  "functional": "PBE",
  "state": "optimized geometry",
  "lattice_angstrom": [[-2.9783, 0.7951, 2.8058], [1.1830, -3.3357, 2.2020], [4.0171, 4.0436, 0.0216]],
  "species": ["U", "Ir", "Si", "Si", "Si"],
  "frac_coords": [[0.9963, 0.9963, 0.9922], [0.6510, 0.6510, 0.3025], [0.2654, 0.7659, 0.5313], [0.7659, 0.2654, 0.5313], [0.4109, 0.4109, 0.8218]],
  "total_magnetization_mub_per_fu": 2.3,
  "space_group": "I4mm (107)",
  "e_tot_ev_per_cell": -39.2
}

***

8.
{
  "formula": "U2Si2Ir3",
  "functional": "PBE",
  "state": "optimized geometry",
  "lattice_angstrom": [[4.2080, 0.0000, 0.9885], [0.0000, 3.0737, 0.0000], [0.0023, 0.0000, 9.4427]],
  "species": ["Ir", "Ir", "Ir", "Si", "Si", "U", "U"],
  "frac_coords": [[0.7023, 0.0000, 0.5954], [0.2977, 0.0000, 0.4046], [0.0000, 0.0000, 0.0000], [0.4318, 0.0000, 0.1363], [0.5682, 0.0000, 0.8637], [0.1476, 0.5000, 0.7048], [0.8524, 0.5000, 0.2952]],
  "total_magnetization_mub_per_fu": 0.6,
  "space_group": "Cmmm (65)",
  "e_tot_ev_per_cell": -63.6
}